# AcBr4N2 | Alexandria via LeMat-Bulk | PBE | relaxed
data_AcBr4N2
_symmetry_space_group_name_H-M 'C 1 2/m 1'
_symmetry_Int_Tables_number 12
_cell_length_a 19.288
_cell_length_b 4.820
_cell_length_c 5.940
_cell_angle_alpha 90.00
_cell_angle_beta 107.85
_cell_angle_gamma 90.00
loop_
_symmetry_equiv_pos_as_xyz
'x,y,z'
'-x,-y,-z'
'-x,y,-z'
'x,-y,z'
'x+1/2,y+1/2,z'
'-x+1/2,-y+1/2,-z'
'-x+1/2,y+1/2,-z'
'x+1/2,-y+1/2,z'
loop_
_atom_site_label
_atom_site_fract_x
_atom_site_fract_y
_atom_site_fract_z
Ac1 0.000 0.000 0.000
Br1 0.078 0.000 0.577
Br2 0.105 0.500 0.104
N1 0.245 0.500 0.745
# Magnetic moment: 7.05 μB per formula unit
# Crystal system: monoclinic
# Total DFT energy (no corrections): -3.479 eV per atom
# E_form (uncorrected): 442 meV per atom
# ρ: 3.63 Mg/m³

=====

# PmYCuSb | Alexandria via LeMat-Bulk | PBE | relaxed
data_PmYCuSb
_symmetry_space_group_name_H-M 'F -4 3 m'
_symmetry_Int_Tables_number 216
_symmetry_space_group_name_Hall 'F -4 2 3'
_cell_length_a 7.355
_cell_length_b 7.355
_cell_length_c 7.355
_cell_angle_alpha 90.00
_cell_angle_beta 90.00
_cell_angle_gamma 90.00
loop_
_atom_site_label
_atom_site_fract_x
_atom_site_fract_y
_atom_site_fract_z
Pm1 0.000 0.000 0.000
Y1 0.000 0.000 0.500
Cu1 0.250 0.250 0.250
Sb1 0.250 0.250 0.750
# Magnetic moment: 0.00 μB per formula unit
# Crystal system: cubic
# Total DFT energy (no corrections): -5.355 eV per atom
# E_form (uncorrected): -497 meV per atom
# ρ: 7.00 Mg/m³

=====

# CrAu2Se | Alexandria via LeMat-Bulk | PBE | relaxed
data_CrAu2Se
_symmetry_space_group_name_H-M 'C 1 2/m 1'
_symmetry_Int_Tables_number 12
_cell_length_a 11.553
_cell_length_b 3.803
_cell_length_c 3.807
_cell_angle_alpha 90.00
_cell_angle_beta 108.67
_cell_angle_gamma 90.00
loop_
_symmetry_equiv_pos_as_xyz
'x,y,z'
'-x,-y,-z'
'-x,y,-z'
'x,-y,z'
'x+1/2,y+1/2,z'
'-x+1/2,-y+1/2,-z'
'-x+1/2,y+1/2,-z'
'x+1/2,-y+1/2,z'
loop_
_atom_site_label
_atom_site_fract_x
_atom_site_fract_y
_atom_site_fract_z
Cr1 0.000 0.000 0.000
Au1 0.250 0.000 0.250
Se1 0.000 0.500 0.500
# Magnetic moment: 3.36 μB per formula unit
# Crystal system: monoclinic
# Total DFT energy (no corrections): -4.851 eV per atom
# E_form (uncorrected): 64 meV per atom
# ρ: 11.00 Mg/m³

=====

# Be3InAu | Alexandria via LeMat-Bulk | PBE | relaxed
data_Be3InAu
_symmetry_space_group_name_H-M 'P m -3 m'
_symmetry_Int_Tables_number 221
_symmetry_space_group_name_Hall '-P 4 2 3'
_cell_length_a 4.508
_cell_length_b 4.508
_cell_length_c 4.508
_cell_angle_alpha 90.00
_cell_angle_beta 90.00
_cell_angle_gamma 90.00
loop_
_atom_site_label
_atom_site_fract_x
_atom_site_fract_y
_atom_site_fract_z
Be1 0.000 0.000 0.500
In1 0.000 0.000 0.000
Au1 0.500 0.500 0.500
# Magnetic moment: 0.00 μB per formula unit
# Crystal system: cubic
# Total DFT energy (no corrections): -2.310 eV per atom
# E above lowest polymorph: 0.6567 eV per atom
# Energy relative to the elements: 5.6 eV/f.u.
# ρ: 6.14 Mg/m³

=====

Q: ρ of number 4 (Be3InAu)?
A: 6.14 Mg/m³